The following is a DFT calculation (PBE) of a relaxed Zr3GeB2 crystal.

```
Zr3GeB2
1.0
3.434 0.000 0.000
-1.717 2.974 0.000
0.000 0.000 19.743
Zr B Ge
6 4 2
Cartesian
1.717 0.991 2.800 Zr
0.000 1.983 12.671 Zr
1.717 0.991 7.072 Zr
0.000 1.983 16.943 Zr
0.000 0.000 0.000 Zr
0.000 0.000 9.871 Zr
1.717 0.991 18.276 B
0.000 1.983 1.466 B
1.717 0.991 11.338 B
0.000 1.983 8.405 B
0.000 0.000 14.807 Ge
0.000 0.000 4.936 Ge
```

Summary:
* space group: No. 194
* electronic total energy: -46.7 eV per formula unit


The following is a DFT calculation (PBE) of a relaxed Zr4GeB3 crystal.

```
Zr4GeB3
1.0
-1.105 2.840 1.619
-0.997 -3.113 1.105
20.091 -0.966 15.406
Zr B Ge
8 6 2
Cartesian
0.122 -1.184 2.162 Zr
17.867 -0.054 15.968 Zr
7.858 -1.556 8.093 Zr
10.132 0.317 10.036 Zr
16.766 -0.806 12.857 Zr
6.720 -0.323 5.153 Zr
3.325 -0.160 2.550 Zr
13.371 -0.643 10.253 Zr
16.758 -1.984 14.919 B
10.046 -0.483 7.703 B
6.677 0.483 7.387 B
0.000 0.000 0.000 B
11.313 -1.722 10.743 B
1.231 0.745 3.211 B
14.000 0.131 13.002 Ge
3.990 -1.370 5.128 Ge
```

Summary:
* space group: No. 194
* electronic total energy: -62.7 eV per formula unit


The following is a DFT calculation (PBE) of a relaxed Zr2GeB crystal.

```
Zr2GeB
1.0
-3.109 -0.181 -1.469
0.603 -1.647 2.963
-4.004 11.289 7.088
Zr B Ge
4 2 2
Cartesian
-2.254 3.406 4.352 Zr
-1.018 -0.078 2.164 Zr
-5.493 9.540 6.419 Zr
-4.257 6.055 4.231 Zr
-2.002 5.645 3.544 B
0.000 0.000 0.000 B
-2.873 2.153 1.781 Ge
-3.638 7.309 6.802 Ge
```

Summary:
* space group: No. 194
* electronic total energy: -30.8 eV per formula unit


The following is a DFT calculation (PBE) of a relaxed Zr3GeB crystal.

```
Zr3GeB
1.0
-4.893 1.987 -2.438
2.441 -4.671 2.461
-2.956 2.773 8.194
Zr B Ge
6 2 2
Cartesian
-1.373 -1.125 9.577 Zr
-0.188 -2.236 6.295 Zr
-5.221 2.324 1.922 Zr
-4.036 1.214 -1.360 Zr
-3.028 0.360 6.435 Zr
-2.381 -0.272 1.783 Zr
-1.226 -1.342 0.012 B
-2.704 0.044 4.109 B
-5.240 2.368 4.957 Ge
-0.169 -2.280 3.260 Ge
```

Summary:
* space group: No. 63
* electronic total energy: -40.2 eV per formula unit